## Ac2NiPd2O6 (PBE+U)

Data for an optimized crystal structure of Ac2NiPd2O6.

Results
SG	R-3m
spin magnetization	1.1	μB per formula unit
crystal system	trigonal
electronic total energy	-66.9	eV/cell

CIF file:
```
data_Ac2NiPd2O6
_chemical_formula_sum 'Ac2 Ni1 Pd2 O6'
_space_group_name_H-M_alt 'P 1'
_space_group_IT_number 1
_cell_length_a 6.347
_cell_length_b 6.347
_cell_length_c 6.347
_cell_angle_alpha 56.54
_cell_angle_beta 56.54
_cell_angle_gamma 56.54
loop_
_space_group_symop_operation_xyz
'x,y,z'
loop_
_atom_site_label
_atom_site_fract_x
_atom_site_fract_y
_atom_site_fract_z
Ac1 0.217 0.217 0.217
Ac2 0.783 0.783 0.783
Ni1 0.000 0.000 0.000
Pd1 0.410 0.410 0.410
Pd2 0.590 0.590 0.590
O1 0.194 0.768 0.768
O2 0.232 0.232 0.806
O3 0.232 0.806 0.232
O4 0.768 0.194 0.768
O5 0.768 0.768 0.194
O6 0.806 0.232 0.232
```